{
  "formula": "PmPr2Tm3Sb6",
  "functional": "PBE",
  "state": "optimized geometry",
  "cell": [[4.4415, 0.0000, 0.0000], [0.0000, 8.8599, 0.3329], [-2.2207, -2.5358, 9.3240]],
  "species": ["Tm", "Tm", "Tm", "Sb", "Sb", "Sb", "Sb", "Sb", "Sb", "Pr", "Pr", "Pm"],
  "fractional_positions": [[0.5000, 0.5000, 0.0000], [0.8329, 0.1666, 0.6657], [0.1671, 0.8334, 0.3343], [0.0036, 0.7448, 0.0071], [0.6635, 0.5913, 0.3271], [0.3312, 0.9256, 0.6625], [0.9964, 0.2552, 0.9929], [0.6688, 0.0744, 0.3375], [0.3365, 0.4087, 0.6729], [0.8337, 0.6673, 0.6675], [0.1663, 0.3327, 0.3325], [0.5000, 0.0000, 0.0000]],
  "vol_a3_per_atom": 30.89,
  "density_g_cm3": 7.5,
  "energy_ev_per_atom": -5.49,
  "space_group": "No. 12",
  "raw_formation_energy_ev_per_atom": -1.123
}